No. 1
Entry from Alexandria via LeMat-Bulk: BeNiIN2 after structural relaxation (GGA-PBE).

a = 3.5666 Å, b = 3.5666 Å, c = 7.1477 Å
α = 90.00°, β = 90.00°, γ = 90.00°
Last column: nearest neighbours and their distance in Å.
Fractional coordinates of all 5 atoms:
I  0.0000  0.0000  0.5000  4 Be 2.52
Ni  0.0000  0.0000  0.0000  4 N 1.78
Be  0.5000  0.5000  0.5000  4 I 2.52
N  0.0000  0.5000  0.0000  2 Ni 1.78
N  0.5000  0.0000  0.0000  2 Ni 1.78

Calculated values
As for the theoretical density: 4.07 g/cm3. Its space-group type is No. 123. The value obtained for the energy above the most stable polymorph in this dataset is 0.0497 eV per atom.



No. 2
Entry from Alexandria via LeMat-Bulk: RbSi2Te2 after structural relaxation (GGA-PBE).

a = 5.2597 Å, b = 5.2597 Å, c = 7.1049 Å
α = 68.28°, β = 68.28°, γ = 90.00°
Last column: nearest neighbours and their distance in Å.
Fractional coordinates of all 5 atoms:
Si  0.7500  0.2500  0.5000  4 Te 2.80
Si  0.2500  0.7500  0.5000  4 Te 2.80
Te  0.3296  0.3296  0.3408  4 Si 2.80
Te  0.6704  0.6704  0.6592  4 Si 2.80
Rb  0.0000  0.0000  0.0000  10 Te 3.99-4.25, 8 Si 4.01

Calculated values
As for the theoretical density: 3.93 g/cm3. Its space-group type is No. 139. The value obtained for the energy above the most stable polymorph in this dataset is 0.0737 eV per atom.



No. 3
Entry from Alexandria via LeMat-Bulk: ScGaIrRh after structural relaxation (GGA-PBE).

a = 3.3638 Å, b = 4.2765 Å, c = 4.2500 Å
α = 90.00°, β = 90.00°, γ = 90.00°
Last column: nearest neighbours and their distance in Å.
Fractional coordinates of all 4 atoms:
Sc  0.0000  0.5000  0.5000  4 Rh 2.71, 4 Ir 2.72, 4 Ga 3.01
Ga  0.0000  0.0000  0.0000  4 Ir 2.71, 4 Rh 2.72, 4 Sc 3.01
Ir  0.5000  0.0000  0.5000  4 Ga 2.71, 4 Sc 2.72, 4 Rh 3.01
Rh  0.5000  0.5000  0.0000  4 Sc 2.71, 4 Ga 2.72, 4 Ir 3.01

Calculated values
As for the theoretical density: 11.13 g/cm3. Its space-group type is No. 47. For the formation energy, the calculation gives -0.876 eV per atom.



No. 4
Entry from Alexandria via LeMat-Bulk: Li3PrS4O12 after structural relaxation (GGA-PBE).

a = 6.4885 Å, b = 6.4885 Å, c = 6.4885 Å
α = 105.65°, β = 105.65°, γ = 105.65°
Last column: nearest neighbours and their distance in Å.
Fractional coordinates of all 20 atoms:
Li  0.5784  0.4216  0.0000  4 O 2.02-2.16
Li  0.4216  0.0000  0.5784  4 O 2.02-2.16
Li  0.0000  0.5784  0.4216  4 O 2.02-2.16
Pr  0.0000  0.0000  0.0000  6 O 2.43
S  0.8900  0.1100  0.5000  3 O 1.52-1.65
S  0.1100  0.5000  0.8900  3 O 1.52-1.65
S  0.5000  0.8900  0.1100  3 O 1.52-1.65
S  0.5000  0.5000  0.5000  3 O 1.43
O  0.5000  0.3613  0.6387  1 S 1.43
O  0.9630  0.5000  0.0370  1 S 1.52
O  0.0370  0.9630  0.5000  1 S 1.52
O  0.5000  0.0370  0.9630  1 S 1.52
O  0.3439  0.9809  0.2490  1 S 1.65
O  0.2490  0.3439  0.9809  1 S 1.65
O  0.9809  0.2490  0.3439  1 S 1.65
O  0.6561  0.7510  0.0191  1 S 1.65
O  0.0191  0.6561  0.7510  1 S 1.65
O  0.7510  0.0191  0.6561  1 S 1.65
O  0.6387  0.5000  0.3613  1 S 1.43
O  0.3613  0.6387  0.5000  1 S 1.43

Calculated values
As for the theoretical density: 3.40 g/cm3. Its space-group type is No. 155. The final energy comes out at -5.65 eV/atom.



No. 5
Entry from Alexandria via LeMat-Bulk: RbHgBi2Pb2 after structural relaxation (GGA-PBE).

a = 4.9157 Å, b = 7.4158 Å, c = 13.3398 Å
α = 90.00°, β = 90.00°, γ = 90.00°
Last column: nearest neighbours and their distance in Å.
Fractional coordinates of all 12 atoms:
Rb  0.5000  0.5000  0.0000  4 Bi 3.77, 4 Pb 3.84
Rb  0.0000  0.0000  0.5000  4 Bi 3.77, 4 Pb 3.84
Hg  0.0000  0.0000  0.0000  2 Bi 3.12, 2 Pb 3.26
Hg  0.5000  0.5000  0.5000  2 Bi 3.12, 2 Pb 3.26
Bi  0.5000  0.7787  0.3246  3 Pb 3.11-3.24, 1 Hg 3.12
Bi  0.5000  0.2213  0.6754  3 Pb 3.11-3.24, 1 Hg 3.12
Bi  0.0000  0.7213  0.8246  3 Pb 3.11-3.24, 1 Hg 3.12
Bi  0.0000  0.2787  0.1754  3 Pb 3.11-3.24, 1 Hg 3.12
Pb  0.5000  0.2156  0.3136  3 Bi 3.11-3.24, 1 Hg 3.26
Pb  0.0000  0.7156  0.1864  3 Bi 3.11-3.24, 1 Hg 3.26
Pb  0.5000  0.7844  0.6864  3 Bi 3.11-3.24, 1 Hg 3.26
Pb  0.0000  0.2844  0.8136  3 Bi 3.11-3.24, 1 Hg 3.26

Calculated values
As for the theoretical density: 7.64 g/cm3. Its space-group type is No. 58. For the formation energy, the calculation gives -0.072 eV per atom.



No. 6
Entry from Alexandria via LeMat-Bulk: Pr8Nd3Sm3 after structural relaxation (GGA-PBE).

a = 5.8070 Å, b = 9.9980 Å, c = 9.9980 Å
α = 102.80°, β = 73.12°, γ = 73.12°
Last column: nearest neighbours and their distance in Å.
Fractional coordinates of all 14 atoms:
Pr  0.6584  0.1180  0.5652  6 Pr 3.34-3.63, 2 Sm 3.70
Pr  0.3416  0.8820  0.4348  6 Pr 3.34-3.63, 2 Sm 3.70
Pr  0.6584  0.5652  0.1180  6 Pr 3.34-3.63, 2 Sm 3.70
Pr  0.3416  0.4348  0.8820  6 Pr 3.34-3.63, 2 Sm 3.70
Pr  0.8370  0.7669  0.5591  5 Pr 3.25-3.60
Pr  0.1630  0.2331  0.4409  5 Pr 3.25-3.60
Pr  0.8370  0.5591  0.7669  5 Pr 3.25-3.60
Pr  0.1630  0.4409  0.2331  5 Pr 3.25-3.60
Nd  0.5000  0.5000  0.5000  2 Nd 3.37
Nd  0.8049  0.1951  0.1951  1 Nd 3.37, 4 Sm 3.56-3.62, 4 Pr 3.68
Nd  0.1951  0.8049  0.8049  1 Nd 3.37, 4 Sm 3.56-3.62, 4 Pr 3.68
Sm  0.5000  0.0000  0.0000  4 Nd 3.62
Sm  0.0000  0.8184  0.1816  2 Nd 3.56, 8 Pr 3.70-3.83
Sm  0.0000  0.1816  0.8184  2 Nd 3.56, 8 Pr 3.70-3.83

Calculated values
As for the theoretical density: 6.67 g/cm3. Its space-group type is No. 71. For the formation energy, the calculation gives 0.102 eV per atom.



No. 7
Entry from Alexandria via LeMat-Bulk: Nd6Te2PSe3 after structural relaxation (GGA-PBE).

a = 4.2663 Å, b = 8.7217 Å, c = 9.6581 Å
α = 102.25°, β = 102.76°, γ = 90.00°
Last column: nearest neighbours and their distance in Å.
Fractional coordinates of all 12 atoms:
Nd  0.3453  0.9346  0.6906  1 P 2.84, 2 Se 2.95, 2 Te 3.18
Nd  0.6564  0.6046  0.3127  3 Se 2.89-2.94, 3 Te 3.18-3.22
Nd  0.6547  0.0654  0.3094  1 P 2.84, 2 Se 2.95, 2 Te 3.18
Nd  0.9955  0.2274  0.9910  2 P 2.93, 3 Se 3.07-3.18, 1 Te 3.20
Nd  0.0045  0.7726  0.0090  2 P 2.93, 3 Se 3.07-3.18, 1 Te 3.20
Nd  0.3436  0.3954  0.6873  3 Se 2.89-2.94, 3 Te 3.18-3.22
Te  0.8310  0.6592  0.6621  6 Nd 3.18-3.22
Te  0.1690  0.3408  0.3379  6 Nd 3.18-3.22
P  0.5000  0.0000  0.0000  6 Nd 2.84-2.93
Se  0.5000  0.5000  0.0000  6 Nd 2.89-3.18
Se  0.8288  0.1584  0.6576  6 Nd 2.94-3.20
Se  0.1712  0.8416  0.3424  6 Nd 2.94-3.20

Calculated values
As for the theoretical density: 6.74 g/cm3. Its space-group type is No. 12. The final energy comes out at -5.91 eV/atom.



No. 8
Entry from Alexandria via LeMat-Bulk: Nd4Te3Au after structural relaxation (GGA-PBE).

a = 4.3650 Å, b = 7.7996 Å, c = 7.7996 Å
α = 108.57°, β = 90.00°, γ = 90.00°
Last column: nearest neighbours and their distance in Å.
Fractional coordinates of all 8 atoms:
Nd  0.0000  0.2334  0.2334  2 Au 3.05, 4 Te 3.17-3.26
Nd  0.5000  0.7547  0.2453  1 Au 3.11, 5 Te 3.15-3.23
Nd  0.0000  0.7666  0.7666  2 Au 3.05, 4 Te 3.17-3.26
Nd  0.5000  0.2453  0.7547  1 Au 3.11, 5 Te 3.15-3.23
Te  0.0000  0.0000  0.5000  6 Nd 3.15-3.17
Te  0.5000  0.5000  0.5000  6 Nd 3.23-3.26
Te  0.0000  0.5000  0.0000  6 Nd 3.15-3.17
Au  0.5000  0.0000  0.0000  6 Nd 3.05-3.11

Calculated values
As for the theoretical density: 7.63 g/cm3. Its space-group type is No. 65. The final energy comes out at -5.24 eV/atom.



No. 9
Entry from Alexandria via LeMat-Bulk: PrTlAgCl5 after structural relaxation (GGA-PBE).

a = 7.7675 Å, b = 7.7675 Å, c = 10.3800 Å
α = 102.42°, β = 102.42°, γ = 109.59°
Last column: nearest neighbours and their distance in Å.
Fractional coordinates of all 16 atoms:
Pr  0.0000  0.0000  0.5000  6 Cl 2.76-2.80
Pr  0.0000  0.0000  0.0000  6 Cl 2.76-2.80
Tl  0.3552  0.6448  0.2500  5 Cl 3.23-3.45
Tl  0.6448  0.3552  0.7500  5 Cl 3.23-3.45
Ag  0.6869  0.3131  0.2500  4 Cl 2.59-2.62
Ag  0.3131  0.6869  0.7500  4 Cl 2.59-2.62
Cl  0.0833  0.9167  0.2500  2 Pr 2.80
Cl  0.9167  0.0833  0.7500  2 Pr 2.80
Cl  0.9242  0.3138  0.1093  1 Ag 2.59, 1 Pr 2.76
Cl  0.0758  0.6862  0.8907  1 Ag 2.59, 1 Pr 2.76
Cl  0.6862  0.0758  0.3907  1 Ag 2.59, 1 Pr 2.76
Cl  0.3138  0.9242  0.6093  1 Ag 2.59, 1 Pr 2.76
Cl  0.7392  0.6262  0.4388  1 Ag 2.62, 1 Pr 2.76
Cl  0.2608  0.3738  0.5612  1 Ag 2.62, 1 Pr 2.76
Cl  0.3738  0.2608  0.0612  1 Ag 2.62, 1 Pr 2.76
Cl  0.6262  0.7392  0.9388  1 Ag 2.62, 1 Pr 2.76

Calculated values
As for the theoretical density: 3.82 g/cm3. Its space-group type is No. 15. The final energy comes out at -3.90 eV/atom.



No. 10
Entry from Alexandria via LeMat-Bulk: NbAlFePd after structural relaxation (GGA-PBE).

a = 4.3788 Å, b = 4.3788 Å, c = 4.3788 Å
α = 60.00°, β = 60.00°, γ = 60.00°
Last column: nearest neighbours and their distance in Å.
Fractional coordinates of all 4 atoms:
Nb  0.7500  0.7500  0.7500  4 Pd 2.68, 4 Fe 2.68
Fe  0.5000  0.5000  0.5000  4 Nb 2.68, 4 Al 2.68
Pd  0.0000  0.0000  0.0000  4 Nb 2.68, 4 Al 2.68
Al  0.2500  0.2500  0.2500  4 Fe 2.68, 4 Pd 2.68

Calculated values
As for the theoretical density: 7.89 g/cm3. Its space-group type is No. 216. For the formation energy, the calculation gives -0.307 eV per atom.



No. 11
Entry from Alexandria via LeMat-Bulk: YHo2NpP4 after structural relaxation (GGA-PBE).

a = 3.9776 Å, b = 6.8969 Å, c = 6.8945 Å
α = 109.33°, β = 90.00°, γ = 90.00°
Last column: nearest neighbours and their distance in Å.
Fractional coordinates of all 8 atoms:
Y  0.0000  0.0000  0.0000  6 P 2.82
Ho  0.5000  0.0000  0.5000  6 P 2.83-2.84
Ho  0.0000  0.5000  0.5000  6 P 2.81
Np  0.5000  0.5000  0.0000  6 P 2.78-2.80
P  0.5000  0.2540  0.2486  1 Np 2.78, 3 Ho 2.81-2.84, 2 Y 2.82
P  0.5000  0.7460  0.7514  1 Np 2.78, 3 Ho 2.81-2.84, 2 Y 2.82
P  0.0000  0.2538  0.7526  2 Np 2.80, 3 Ho 2.81-2.83, 1 Y 2.82
P  0.0000  0.7462  0.2474  2 Np 2.80, 3 Ho 2.81-2.83, 1 Y 2.82

Calculated values
As for the theoretical density: 7.25 g/cm3. Its space-group type is No. 10. For the formation energy, the calculation gives -1.424 eV per atom.